80
Lattice="-7.3122 10.8713 -1.2707 -7.7184 -10.6181 -0.9741 5.9309 0.0501 11.7511" Properties=species:S:1:pos:R:3 comment="K5Y3F12, relaxed, DFT PBE" n_ef_per_ev_atom=0.113 spacegroup=Ia-3d magmom_total_mub_per_atom=0.000 pbc="T T T"
Y -7.6372 4.1779 0.1506
Y -11.4456 1.5550 -0.3735
Y -4.8241 -3.8556 6.1374
Y -0.5688 1.4093 3.9672
Y -5.8802 8.1976 1.7042
Y -6.0834 -2.5471 1.8525
Y -3.0164 2.8503 7.6539
Y -3.2195 -7.8944 7.8022
Y -8.5310 -1.1061 5.5391
Y -4.2756 4.1588 3.3690
Y 2.3459 -1.2518 9.8799
Y -1.4625 -3.8747 9.3557
K -2.3257 -2.6104 2.4137
K -3.8592 -5.3091 -0.4871
K 0.0000 0.0000 0.0000
K -3.9303 1.4285 0.7489
K -0.6906 5.4607 5.2402
K -7.5153 0.1266 -1.1224
K -4.4788 -6.5859 3.5173
K -1.2594 6.8700 9.2075
K -8.0841 1.5359 2.8448
K 0.7413 2.7870 8.2151
K -9.8410 -2.4838 1.2913
K -4.5499 0.1516 4.7532
K -3.6561 5.4356 -0.6353
K 2.9655 0.0250 5.8756
K -1.0156 -1.2327 6.6615
K -7.8403 -6.5668 0.2989
K -0.8938 -5.2840 5.3885
K -4.6210 6.8891 5.9891
K -5.1694 -1.1252 8.7575
K -6.7740 2.9136 7.0927
F -0.1766 4.7199 10.4972
F -4.6116 -1.1161 2.4363
F -0.2900 -3.0084 4.1903
F -3.2395 3.9575 1.5141
F -4.0638 -1.8757 6.3756
F -4.8645 -7.3113 0.9127
F -6.0575 -5.4488 5.4339
F -1.0180 1.5452 1.8854
F -1.6188 7.5373 6.5837
F -6.9522 2.1781 0.4438
F -8.6792 4.0671 2.0097
F -6.5707 1.0604 9.6048
F -3.3148 -4.4435 4.7477
F 1.0140 0.3846 10.2002
F -10.9904 1.7312 1.7040
F -1.4314 4.2686 7.4783
F -7.1601 8.5829 0.0404
F -7.5003 -1.0782 1.2286
F -4.5859 8.5800 3.3573
F -4.5532 -4.0286 1.7169
F 2.7915 3.1567 9.9811
F -7.1383 0.4694 5.1744
F -9.5666 -0.5710 3.7514
F -8.8099 5.7966 -0.5972
F -1.9614 -0.1662 4.3319
F 0.4669 0.8742 5.7549
F -0.2899 -5.4934 10.1036
F -4.5138 -8.2768 6.1490
F -11.8912 -2.8535 -0.4748
F -4.5465 4.3318 7.7894
F -1.5994 1.3814 8.2778
F -7.6683 -3.9654 2.0280
F -1.9396 -8.2797 9.4659
F 1.8907 -1.4280 7.8023
F -5.7849 4.7467 4.7586
F -2.5290 -0.7572 -0.0985
F -10.1137 -0.0814 -0.6939
F -7.4809 -7.2341 2.9227
F -2.1475 -1.8749 9.0626
F -0.4205 -3.7639 7.4966
F -8.0817 -1.2420 7.6210
F -3.0423 5.7520 4.0724
F -5.8602 -3.6542 7.9922
F -4.2352 7.6145 8.5936
F -5.0359 2.1789 3.1307
F -8.8097 3.3116 5.3161
F -4.4881 1.4193 7.0700
F -8.9231 -4.4167 -0.9908


9
Lattice="3.9297 0.0000 -0.8285 -0.1747 3.9258 -0.8285 -0.0572 -0.0598 9.4621" Properties=species:S:1:pos:R:3 comment="KY2F6, relaxed, DFT PBE" n_ef_per_ev_atom=0.241 spacegroup=I4/mmm magmom_total_mub_per_atom=0.102 pbc="T T T"
K 0.0000 0.0000 0.0000
Y 1.2232 1.2788 5.8015
Y 2.4746 2.5872 2.0036
F 3.3880 1.4879 6.3357
F 1.3358 3.4508 6.3357
F 0.3098 2.3781 1.4694
F 2.8750 0.9515 3.9025
F 0.8228 2.9144 3.9025
F 2.3620 0.4152 1.4694


4
Lattice="-1.9666 -1.2205 5.8489 0.3411 4.4557 4.4269 -5.2578 2.6824 2.1743" Properties=species:S:1:pos:R:3 comment="K2YF, relaxed, DFT PBE" e_above_lowest_polymorph_mev_per_atom=707.4 n_ef_per_ev_atom=1.986 spacegroup=Fm-3m magmom_total_mub_per_atom=0.500 pbc="T T T"
Y -3.4417 2.9588 6.2251
K -1.7208 1.4794 3.1125
K -5.1625 4.4382 9.3376
F 0.0000 0.0000 0.0000


108
Lattice="14.2444 0.0000 0.0000 -7.1222 12.3360 0.0000 0.0000 0.0000 10.3109" Properties=species:S:1:pos:R:3 comment="KYF4, relaxed, DFT PBE" n_ef_per_ev_atom=0.000 spacegroup=P3_2 magmom_total_mub_per_atom=0.020 pbc="T T T"
K 8.3645 9.0405 3.2305
K 10.7693 0.5719 6.6675
K 2.2328 2.7236 10.1045
K 11.8001 2.7046 3.5246
K 3.5644 0.7645 6.9615
K 6.0021 8.8669 0.0876
K 1.0283 4.8142 3.2614
K -3.4671 9.0384 6.6984
K 2.4389 10.8194 10.1354
K -2.2241 11.0632 3.5613
K 3.5709 8.7305 6.9983
K -1.3468 4.8783 0.1243
K 4.7981 6.7058 3.5825
K 10.5306 4.8278 7.0195
K 6.0379 0.8023 0.1455
K 8.4080 0.6521 3.2779
K 3.4829 4.7284 6.7148
K 9.4757 6.9555 10.1518
Y 4.6279 10.7282 3.4340
Y -0.1453 2.9640 6.8710
Y -4.4827 10.9798 10.3079
Y 1.2975 8.8544 3.5315
Y -0.1028 6.7851 6.9685
Y -1.1947 9.0325 0.0945
Y 4.5158 2.7106 3.3299
Y 7.2117 7.0699 6.7668
Y 9.6390 2.5555 10.2038
Y 1.2589 0.7109 3.4864
Y 7.1084 10.8904 6.9234
Y 12.9993 0.7348 0.0495
Y -2.5874 6.7549 3.4908
Y 0.0214 11.1993 6.9278
Y 2.5659 6.7178 0.0539
Y 8.3282 4.8847 3.2727
Y 7.1883 2.6813 6.7096
Y 5.8500 4.7701 10.1466
F 5.2671 10.7010 5.6644
F -0.4884 2.4241 9.1014
F -4.7787 11.5469 2.2275
F 4.9033 11.4857 1.2806
F 0.3731 2.3467 4.7176
F -5.2764 10.8395 8.1546
F -0.1655 9.7222 2.0180
F 1.3803 7.6182 5.4550
F -1.2147 7.3315 8.8920
F 0.8822 8.2197 0.0872
F -0.4448 7.4621 3.5242
F -0.4374 8.9901 6.9612
F 4.7760 3.2535 1.1051
F 7.5518 6.5731 4.5421
F 9.0388 2.5094 7.9791
F 5.3331 2.6080 5.4862
F 6.7142 6.4134 8.9231
F 9.3192 3.3146 2.0492
F 0.8869 0.0643 0.0131
F 6.7344 11.5358 3.4501
F 13.7453 0.7360 6.8870
F 5.9632 11.3816 8.8398
F -0.2470 1.4809 1.9659
F -5.7162 11.8095 5.4029
F -2.2426 7.5129 1.3360
F 0.5055 10.5217 4.7730
F 1.7371 6.6373 8.2099
F -1.9693 6.6933 5.7193
F -0.3409 10.6948 9.1562
F 2.3102 7.2838 2.2823
F 7.3706 5.5738 1.3242
F 8.2639 3.1660 4.7611
F 5.7320 3.5962 8.1981
F 7.4867 3.2447 10.1803
F 6.1888 4.2300 3.3063
F 7.6910 4.8613 6.7433
F 12.0321 2.8694 6.1516
F 3.5911 0.4812 9.5886
F 5.7434 8.9854 2.7146
F 11.6822 2.3954 0.8919
F 3.3555 1.0212 4.3289
F 6.3288 8.9194 7.7659
F 8.5214 9.3006 0.5798
F 10.9160 0.3059 4.0168
F 1.9291 2.7294 7.4537
F 2.4164 2.3731 2.4129
F 7.9692 9.0568 5.8498
F 10.9810 0.9061 9.2868
F -2.4311 10.7540 0.9575
F 3.4067 9.0644 4.3945
F -0.9755 4.8535 7.8314
F -2.0351 11.1839 6.1818
F 3.5809 8.5065 9.6188
F -1.5458 4.9816 2.7448
F 2.5395 10.4555 2.4742
F 0.6628 4.9090 5.9112
F -3.2023 9.3075 9.3482
F 1.2477 5.0854 0.6104
F -3.3420 8.7128 4.0474
F 2.0943 10.8738 7.4844
F 8.6370 0.7652 0.6515
F 3.4663 4.4736 4.0884
F 9.2632 7.0973 7.5254
F 3.7236 5.0359 9.3358
F 9.6216 6.5933 2.4618
F 8.0213 0.7068 5.8988
F 4.6655 6.3887 0.9410
F 10.3222 5.1012 4.3780
F 6.3789 0.8461 7.8150
F 5.1341 6.7246 6.2288
F 10.3788 4.5274 9.6658
F 5.8536 1.0840 2.7918


5
Lattice="-1.5964 2.3377 3.6174 -4.2895 -0.5152 -1.5601 -0.3883 -3.9203 2.3621" Properties=species:S:1:pos:R:3 comment="KYF3, relaxed, DFT PBE" e_above_lowest_polymorph_mev_per_atom=0.0 n_ef_per_ev_atom=0.581 spacegroup=Pm-3m magmom_total_mub_per_atom=0.079 pbc="T T T"
Y 0.0000 0.0000 0.0000
K -3.1371 -1.0489 2.2097
F -2.1447 -0.2576 -0.7801
F -0.1941 -1.9601 1.1810
F -0.7982 1.1688 1.8087


20
Lattice="-0.9635 4.4139 -4.8650 -6.2674 -1.3294 0.0351 5.0551 7.9252 6.1891" Properties=species:S:1:pos:R:3 comment="K3YF6, relaxed, DFT PBE" n_ef_per_ev_atom=0.000 spacegroup=P2_1/c magmom_total_mub_per_atom=0.029 pbc="T T T"
F -2.3873 4.7541 1.8946
F 2.6059 10.8283 1.8865
F 0.2116 6.2556 -0.5355
F -4.7817 0.1813 -0.5274
F -3.4934 6.7543 -0.1302
F 3.8123 8.3686 4.4178
F 1.3176 4.2554 1.4893
F -5.9881 2.6411 -3.0587
F -3.2521 3.8091 -0.9927
F -1.0891 1.5789 1.0858
F 1.0763 7.2005 2.3518
F -1.0867 9.4307 0.2733
K -3.6154 1.5422 -2.4150
K -0.6062 3.2979 3.1121
K -1.5561 7.3143 1.9400
K 2.2888 5.9128 4.4372
K -0.6197 3.6953 -0.5808
K -4.4645 5.0968 -3.0781
Y 0.0000 0.0000 0.0000
Y 2.0458 6.1695 0.6620


| no. | ΔE_f (raw) (eV/atom) |
| --- | --- |
| 1 | -3.20 |
| 2 | -3.55 |
| 3 | 0.00 |
| 4 | -3.73 |
| 5 | -3.05 |
| 6 | -3.34 |